YErSc2Tl4 after structural relaxation. Source: Alexandria via LeMat-Bulk, functional PBE. Values from VASP.

Quantum ESPRESSO input file:
```
&SYSTEM
  ibrav = 0, nat = 8, ntyp = 4
/
ATOMIC_SPECIES
Y 88.91 Y.upf
Er 167.26 Er.upf
Sc 44.96 Sc.upf
Tl 204.38 Tl.upf
CELL_PARAMETERS angstrom
2.6146 1.5095 8.5522
-2.6146 1.5095 8.5522
0.0000 -3.0191 8.5522
ATOMIC_POSITIONS crystal
Y 0.0000 0.0000 0.0000
Er 0.5000 0.5000 0.5000
Sc 0.2498 0.2498 0.2498
Sc 0.7502 0.7502 0.7502
Tl 0.1255 0.1255 0.1255
Tl 0.3756 0.3756 0.3756
Tl 0.6244 0.6244 0.6244
Tl 0.8745 0.8745 0.8745
```

Results
Space-group type ... R-3m
Volume ... 25.32 A^3/atom
Formation energy from the elements ... -290 meV per atom
Total magnetic moment ... 0.00 μB/cell